# 1
DFT (PBE) results for a relaxed structure of GaIrS.

abc: 6.1840 6.2341 6.2337
angles: 123.84 90.00 90.00
Last column: nearest neighbours and their distance in Å.
Fractional positions:
Ga  0.1371  0.3370  0.9133  3 Ir 2.47-2.61, 1 S 2.51
Ga  0.1372  0.8370  0.4133  3 Ir 2.47-2.61, 1 S 2.51
Ga  0.6372  0.1630  0.5867  3 Ir 2.47-2.61, 1 S 2.51
Ga  0.6371  0.6630  0.0867  3 Ir 2.47-2.61, 1 S 2.51
S  0.8716  0.6647  0.5853  3 Ir 2.33-2.46, 1 Ga 2.51
S  0.8716  0.1647  0.0853  3 Ir 2.33-2.46, 1 Ga 2.51
S  0.3716  0.8353  0.9147  3 Ir 2.33-2.46, 1 Ga 2.51
S  0.3716  0.3353  0.4147  3 Ir 2.33-2.46, 1 Ga 2.51
Ir  0.9931  0.2656  0.4844  3 S 2.33-2.46, 1 Ga 2.47
Ir  0.4931  0.7344  0.5156  3 S 2.33-2.46, 1 Ga 2.47
Ir  0.4931  0.2344  0.0156  3 S 2.33-2.46, 1 Ga 2.47
Ir  0.9931  0.7656  0.9844  3 S 2.33-2.46, 1 Ga 2.47

Properties
The space-group type is No. 31. As for the crystal system: orthorhombic. Its formation energy from raw total energies is -415 meV/atom. As for the magnetization: 0.0 μB per cell.


# 2
DFT (PBE) results for a relaxed structure of Cd11Pb3.

abc: 4.8461 8.9477 8.9477
angles: 78.82 74.29 74.29
Last column: nearest neighbours and their distance in Å.
Fractional positions:
Cd  0.6372  0.7323  0.9933  5 Cd 2.96-3.02
Cd  0.8578  0.4255  0.8589  6 Cd 2.98-3.12
Cd  0.6372  0.9933  0.7323  5 Cd 2.96-3.02
Cd  0.5000  0.3443  0.6557  8 Cd 3.00-3.12
Cd  0.1422  0.1411  0.5745  6 Cd 2.98-3.12
Cd  0.0000  0.5000  0.5000  8 Cd 3.00-3.07
Cd  0.8578  0.8589  0.4255  6 Cd 2.98-3.12
Cd  0.5000  0.6557  0.3443  8 Cd 3.00-3.12
Cd  0.3628  0.0067  0.2677  5 Cd 2.96-3.02
Cd  0.1422  0.5745  0.1411  6 Cd 2.98-3.12
Cd  0.3628  0.2677  0.0067  5 Cd 2.96-3.02
Pb  0.0000  0.0000  0.0000  12 Cd 3.35-3.71, 2 Pb 3.60
Pb  0.2777  0.7223  0.7223  14 Cd 3.37-3.76, 1 Pb 3.60
Pb  0.7223  0.2777  0.2777  14 Cd 3.37-3.76, 1 Pb 3.60

Properties
The space-group type is No. 71. As for the crystal system: orthorhombic. The calculation puts the raw total energy at -20.674 eV for the cell shown. As for the magnetization: 0.0 μB per cell.


# 3
DFT (PBE) results for a relaxed structure of PmHoBeZn.

abc: 4.9957 4.9957 4.9957
angles: 60.00 60.00 60.00
Last column: nearest neighbours and their distance in Å.
Fractional positions:
Be  0.5000  0.5000  0.5000  4 Ho 3.06, 4 Pm 3.06
Zn  0.0000  0.0000  0.0000  4 Pm 3.06, 4 Ho 3.06
Ho  0.7500  0.7500  0.7500  4 Zn 3.06, 4 Be 3.06
Pm  0.2500  0.2500  0.2500  4 Be 3.06, 4 Zn 3.06

Properties
The space-group type is No. 216. As for the crystal system: cubic. The calculation puts the raw total energy at -14.636 eV for the cell shown. As for the magnetization: 0.0 μB per cell.


# 4
DFT (PBE) results for a relaxed structure of Pt2SI.

abc: 6.1367 6.1367 6.6819
angles: 62.66 62.66 90.00
Last column: nearest neighbours and their distance in Å.
Fractional positions:
I  0.0000  0.0000  0.0000  4 Pt 2.81
I  0.7500  0.2500  0.5000  4 Pt 2.81
S  0.5000  0.5000  0.0000  4 Pt 2.27
S  0.2500  0.7500  0.5000  4 Pt 2.27
Pt  0.5524  0.1250  0.2500  2 S 2.27
Pt  0.1976  0.6250  0.2500  2 S 2.27
Pt  0.3750  0.4476  0.7500  2 S 2.27
Pt  0.8750  0.8024  0.7500  2 S 2.27

Properties
The space-group type is No. 122. As for the crystal system: tetragonal. Its formation energy from raw total energies is 141 meV/atom. As for the magnetization: 0.0 μB per cell.


# 5
DFT (PBE) results for a relaxed structure of USnSe3.

abc: 4.1988 7.6939 8.9362
angles: 97.71 103.59 90.00
Last column: nearest neighbours and their distance in Å.
Fractional positions:
U  0.7882  0.7596  0.5765  7 Se 2.87-2.98
U  0.2118  0.2404  0.4235  7 Se 2.87-2.98
Sn  0.5440  0.6926  0.0880  3 Se 2.76-2.88
Sn  0.4560  0.3074  0.9120  3 Se 2.76-2.88
Se  0.9543  0.7826  0.9087  2 Sn 2.76, 1 U 2.87
Se  0.0457  0.2174  0.0913  2 Sn 2.76, 1 U 2.87
Se  0.3359  0.0084  0.6719  1 Sn 2.88, 3 U 2.88-2.98
Se  0.6641  0.9916  0.3281  1 Sn 2.88, 3 U 2.88-2.98
Se  0.1883  0.6075  0.3766  3 U 2.87-2.91
Se  0.8117  0.3925  0.6234  3 U 2.87-2.91

Properties
The space-group type is No. 12. As for the crystal system: monoclinic. Its formation energy from raw total energies is -784 meV/atom. As for the magnetization: 4.0 μB per cell.


# 6
DFT (PBE) results for a relaxed structure of CsErCu2I6.

abc: 7.7327 10.8794 10.8794
angles: 87.97 86.91 86.91
Last column: nearest neighbours and their distance in Å.
Fractional positions:
Cs  0.2500  0.9212  0.0788  6 I 3.73-3.95
Cs  0.7500  0.0788  0.9212  6 I 3.73-3.95
Er  0.2500  0.2768  0.7232  6 I 2.95-3.14
Er  0.7500  0.7232  0.2768  6 I 2.95-3.14
Cu  0.2309  0.6542  0.5182  3 I 2.56-2.58, 1 Cu 2.69
Cu  0.2691  0.4818  0.3458  3 I 2.56-2.58, 1 Cu 2.69
Cu  0.7691  0.3458  0.4818  3 I 2.56-2.58, 1 Cu 2.69
Cu  0.7309  0.5182  0.6542  3 I 2.56-2.58, 1 Cu 2.69
I  0.1610  0.0166  0.7330  1 Er 2.95
I  0.3390  0.2670  0.9834  1 Er 2.95
I  0.8390  0.9834  0.2670  1 Er 2.95
I  0.6610  0.7330  0.0166  1 Er 2.95
I  0.4107  0.8165  0.4022  1 Cu 2.56
I  0.0893  0.5978  0.1835  1 Cu 2.56
I  0.5893  0.1835  0.5978  1 Cu 2.56
I  0.9107  0.4022  0.8165  1 Cu 2.56
I  0.8980  0.6908  0.5397  2 Cu 2.58
I  0.6020  0.4603  0.3092  2 Cu 2.58
I  0.1020  0.3092  0.4603  2 Cu 2.58
I  0.3980  0.5397  0.6908  2 Cu 2.58

Properties
The space-group type is No. 15. As for the crystal system: monoclinic. Its formation energy from raw total energies is -879 meV/atom. As for the magnetization: 0.0 μB per cell.


# 7
DFT (PBE) results for a relaxed structure of K3Zr3Te8Au.

abc: 8.7325 8.3285 9.4354
angles: 113.66 90.00 121.62
Last column: nearest neighbours and their distance in Å.
Fractional positions:
K  0.0000  0.0000  0.0000  6 Te 3.47-3.55
K  0.0000  0.5000  0.0000  6 Te 3.47-3.55
K  0.5000  0.5000  0.0000  6 Te 3.47-3.55
Zr  0.5000  0.0000  0.5000  6 Te 2.91-2.96
Zr  0.5000  0.5000  0.5000  6 Te 2.88-2.98
Zr  0.0000  0.5000  0.5000  6 Te 2.88-2.98
Te  0.2651  0.5301  0.2959  3 Zr 2.96-2.98
Te  0.7349  0.4699  0.7041  3 Zr 2.96-2.98
Te  0.7838  0.5675  0.3143  1 Au 2.72, 2 Zr 2.98
Te  0.2162  0.4325  0.6857  1 Au 2.72, 2 Zr 2.98
Te  0.7519  0.0459  0.2944  2 Zr 2.88-2.91, 1 Au 3.17
Te  0.2481  0.9541  0.7056  2 Zr 2.88-2.91, 1 Au 3.17
Te  0.2940  0.0459  0.2944  2 Zr 2.88-2.91, 1 Au 3.17
Te  0.7060  0.9541  0.7056  2 Zr 2.88-2.91, 1 Au 3.17
Au  0.0000  0.0000  0.5000  2 Te 2.72

Properties
The space-group type is No. 12. As for the crystal system: monoclinic. Its formation energy from raw total energies is -803 meV/atom. As for the magnetization: 0.0 μB per cell.


# 8
DFT (PBE) results for a relaxed structure of TbErAgOs.

abc: 4.9381 4.9381 4.9381
angles: 60.00 60.00 60.00
Last column: nearest neighbours and their distance in Å.
Fractional positions:
Tb  0.0000  0.0000  0.0000  4 Os 3.02, 4 Ag 3.02
Os  0.7500  0.7500  0.7500  4 Er 3.02, 4 Tb 3.02
Ag  0.2500  0.2500  0.2500  4 Er 3.02, 4 Tb 3.02
Er  0.5000  0.5000  0.5000  4 Os 3.02, 4 Ag 3.02

Properties
The space-group type is No. 216. As for the crystal system: cubic. The calculation puts the raw total energy at -24.404 eV for the cell shown. As for the magnetization: 0.0 μB per cell.


# 9
DFT (PBE) results for a relaxed structure of TlNiPb2.

abc: 4.8498 4.8482 4.2971
angles: 90.00 90.00 90.00
Last column: nearest neighbours and their distance in Å.
Fractional positions:
Ni  0.0000  0.5000  0.5000  8 Pb 3.24, 4 Tl 3.43
Pb  0.0000  0.0000  0.0000  4 Ni 3.24, 4 Tl 3.24, 4 Pb 3.43
Pb  0.5000  0.5000  0.0000  4 Tl 3.24, 4 Ni 3.24, 4 Pb 3.43
Tl  0.5000  0.0000  0.5000  8 Pb 3.24, 4 Ni 3.43

Properties
The space-group type is No. 123. As for the crystal system: tetragonal. The calculation puts the raw total energy at -13.971 eV for the cell shown. As for the magnetization: 0.0 μB per cell.


# 10
DFT (PBE) results for a relaxed structure of MgIn3.

abc: 6.1883 6.1883 6.1883
angles: 146.75 127.44 63.63
Last column: nearest neighbours and their distance in Å.
Fractional positions:
Mg  0.6624  0.0000  0.6624  10 In 3.20-3.32, 2 Mg 3.54
In  0.7542  0.7432  0.0110  3 Mg 3.22-3.31, 9 In 3.24-3.54
In  0.2677  0.2568  0.0110  3 Mg 3.22-3.31, 9 In 3.24-3.54
In  0.1489  0.5000  0.6489  4 Mg 3.20-3.32, 8 In 3.24-3.54

Properties
The space-group type is No. 44. As for the crystal system: orthorhombic. The calculation puts the raw total energy at -9.855 eV for the cell shown. As for the magnetization: 0.0 μB per cell.


# 11
DFT (PBE) results for a relaxed structure of K12Cd3F5.

abc: 15.7096 15.7096 15.7096
angles: 109.47 109.47 109.47
Last column: nearest neighbours and their distance in Å.
Fractional positions:
Cd  0.7500  0.3750  0.1250  8 K 3.58-3.83
Cd  0.8750  0.7500  0.1250  8 K 3.58-3.83
Cd  0.3750  0.7500  0.6250  8 K 3.58-3.83
Cd  0.2500  0.1250  0.3750  8 K 3.58-3.83
Cd  0.8750  0.1250  0.2500  8 K 3.58-3.83
Cd  0.3750  0.6250  0.2500  8 K 3.58-3.83
Cd  0.6250  0.3750  0.7500  8 K 3.58-3.83
Cd  0.1250  0.8750  0.7500  8 K 3.58-3.83
Cd  0.7500  0.8750  0.6250  8 K 3.58-3.83
Cd  0.6250  0.2500  0.3750  8 K 3.58-3.83
Cd  0.1250  0.2500  0.8750  8 K 3.58-3.83
Cd  0.2500  0.6250  0.8750  8 K 3.58-3.83
F  0.1250  0.3750  0.2500  4 K 2.57
F  0.0000  0.5000  0.0000  6 K 2.86
F  0.0000  0.0000  0.0000  6 K 2.86
F  0.3750  0.2500  0.1250  4 K 2.57
F  0.5000  0.0000  0.5000  6 K 2.86
F  0.5000  0.5000  0.0000  6 K 2.86
F  0.1250  0.7500  0.3750  4 K 2.57
F  0.7500  0.1250  0.8750  4 K 2.57
F  0.7500  0.6250  0.3750  4 K 2.57
F  0.3750  0.1250  0.7500  4 K 2.57
F  0.6250  0.8750  0.2500  4 K 2.57
F  0.5000  0.5000  0.5000  6 K 2.86
F  0.5000  0.0000  0.0000  6 K 2.86
F  0.0000  0.0000  0.5000  6 K 2.86
F  0.2500  0.3750  0.6250  4 K 2.57
F  0.2500  0.8750  0.1250  4 K 2.57
F  0.0000  0.5000  0.5000  6 K 2.86
F  0.8750  0.2500  0.6250  4 K 2.57
F  0.6250  0.7500  0.8750  4 K 2.57
F  0.8750  0.6250  0.7500  4 K 2.57
K  0.6901  0.1091  0.0055  2 F 2.57-2.86
K  0.3154  0.5055  0.3964  2 F 2.57-2.86
K  0.9945  0.3909  0.3099  2 F 2.57-2.86
K  0.5055  0.1901  0.1091  2 F 2.57-2.86
K  0.5810  0.6901  0.6846  2 F 2.57-2.86
K  0.9945  0.6036  0.1846  2 F 2.57-2.86
K  0.3154  0.8099  0.4190  2 F 2.57-2.86
K  0.1036  0.9190  0.1091  2 F 2.57-2.86
K  0.6036  0.9945  0.6846  2 F 2.57-2.86
K  0.6901  0.5810  0.1846  2 F 2.57-2.86
K  0.8099  0.4945  0.3909  2 F 2.57-2.86
K  0.8154  0.8964  0.0055  2 F 2.57-2.86
K  0.1091  0.6901  0.5055  2 F 2.57-2.86
K  0.3909  0.3964  0.0810  2 F 2.57-2.86
K  0.0810  0.8964  0.3909  2 F 2.57-2.86
K  0.4190  0.1091  0.6036  2 F 2.57-2.86
K  0.0810  0.1846  0.1901  2 F 2.57-2.86
K  0.4945  0.6846  0.1036  2 F 2.57-2.86
K  0.8154  0.9190  0.3099  2 F 2.57-2.86
K  0.1091  0.4190  0.1036  2 F 2.57-2.86
K  0.3909  0.9945  0.8099  2 F 2.57-2.86
K  0.6036  0.6091  0.4190  2 F 2.57-2.86
K  0.8964  0.8154  0.5055  2 F 2.57-2.86
K  0.8099  0.3154  0.9190  2 F 2.57-2.86
K  0.3964  0.3909  0.5810  2 F 2.57-2.86
K  0.1036  0.1846  0.4945  2 F 2.57-2.86
K  0.1901  0.6846  0.0810  2 F 2.57-2.86
K  0.1846  0.0810  0.6901  2 F 2.57-2.86
K  0.6091  0.0055  0.1901  2 F 2.57-2.86
K  0.8909  0.5810  0.8964  2 F 2.57-2.86
K  0.5055  0.3154  0.8964  2 F 2.57-2.86
K  0.5810  0.8909  0.3964  2 F 2.57-2.86
K  0.9190  0.8154  0.8099  2 F 2.57-2.86
K  0.9190  0.1036  0.6091  2 F 2.57-2.86
K  0.8909  0.3099  0.4945  2 F 2.57-2.86
K  0.1846  0.1036  0.9945  2 F 2.57-2.86
K  0.6091  0.6036  0.9190  2 F 2.57-2.86
K  0.3964  0.0055  0.3154  2 F 2.57-2.86
K  0.3099  0.4190  0.8154  2 F 2.57-2.86
K  0.1901  0.5055  0.6091  2 F 2.57-2.86
K  0.8964  0.0810  0.8909  2 F 2.57-2.86
K  0.6846  0.1901  0.5810  2 F 2.57-2.86
K  0.4945  0.8099  0.8909  2 F 2.57-2.86
K  0.0055  0.3964  0.8154  2 F 2.57-2.86
K  0.4190  0.3099  0.3154  2 F 2.57-2.86
K  0.0055  0.6091  0.6901  2 F 2.57-2.86
K  0.6846  0.4945  0.6036  2 F 2.57-2.86
K  0.3099  0.8909  0.9945  2 F 2.57-2.86

Properties
The space-group type is No. 230. As for the crystal system: cubic. Its formation energy from raw total energies is -1252 meV/atom. As for the magnetization: 0.0 μB per cell.


# 12
DFT (PBE) results for a relaxed structure of BaLiCdIn2.

abc: 4.9731 4.9731 6.8824
angles: 111.18 111.18 90.00
Last column: nearest neighbours and their distance in Å.
Fractional positions:
Ba  0.0000  0.0000  0.0000  8 In 3.80, 4 Cd 3.86, 4 Li 3.86
Li  0.7500  0.2500  0.5000  4 In 2.91
Cd  0.2500  0.7500  0.5000  4 In 2.91
In  0.6224  0.6224  0.2449  1 In 2.90, 2 Cd 2.91, 2 Li 2.91
In  0.3776  0.3776  0.7551  1 In 2.90, 2 Cd 2.91, 2 Li 2.91

Properties
The space-group type is No. 119. As for the crystal system: tetragonal. The calculation puts the raw total energy at -11.835 eV for the cell shown. As for the magnetization: 0.0 μB per cell.